# 1
Entry from Alexandria via LeMat-Bulk: crystalline CuHg2Sb at its relaxed geometry (PBE).

Calculated values
For the raw formation energy, the calculation gives 0.345 eV per atom.

a b c (Å): 7.101 7.101 7.101
angles (deg): 90.00 90.00 90.00
Space group F-43m (No. 216)
Symmetry-distinct sites (fractional):
Cu: 0.000 0.000 0.000
Hg: 0.000 0.000 0.500
Hg: 0.250 0.250 0.750
Sb: 0.250 0.250 0.250

=====

# 2
Entry from Alexandria via LeMat-Bulk: crystalline CuHgSb at its relaxed geometry (PBE).

Calculated values
For the raw formation energy, the calculation gives 0.053 eV per atom.

a b c (Å): 4.155 5.188 6.793
angles (deg): 90.00 107.20 90.00
Space group P2_1/m (No. 11)
Symmetry-distinct sites (fractional):
Cu: 0.000 0.000 0.000
Hg: 0.194 0.250 0.376
Sb: 0.418 0.250 0.827

=====

The highest raw formation energy belongs to which entry?
CuHg2Sb